A relaxed Tl12P3Cl5 crystal. Source: the Alexandria database, functional PBE.

a b c (Å): 18.2817 18.2817 18.2817
angles (deg): 90.00 90.00 90.00
With the nearest neighbours (Å) after each atom.
Space group Ia-3d (No. 230)
Unique sites:
Tl1 0.0044 0.0622 0.6599  2 Cl 2.98-3.14, 1 P 3.10
P1 0.0000 0.2500 0.1250  4 Tl 3.10
Cl1 0.0000 0.0000 0.0000  6 Tl 3.14
Cl2 0.0000 0.2500 0.3750  4 Tl 2.98


A relaxed TiCoSn crystal. Source: the Alexandria database, functional PBE.

a b c (Å): 5.9469 5.9469 5.9469
angles (deg): 90.00 90.00 90.00
With the nearest neighbours (Å) after each atom.
Space group F-43m (No. 216)
Unique sites:
Ti1 0.0000 0.0000 0.0000  4 Co 2.58
Co1 0.2500 0.2500 0.2500  4 Sn 2.58, 4 Ti 2.58
Sn1 0.0000 0.0000 0.5000  4 Co 2.58


A relaxed Sc4TiIn3 crystal. Source: the Alexandria database, functional PBE.

a b c (Å): 4.9793 4.9793 14.2551
angles (deg): 90.00 90.00 90.00
With the nearest neighbours (Å) after each atom.
Space group I4/mmm (No. 139)
Unique sites:
Sc1 0.0000 0.5000 0.1224  6 In 3.03-3.14, 2 Ti 3.04
Ti1 0.0000 0.0000 0.0000  8 Sc 3.04
In1 0.0000 0.0000 0.2434  8 Sc 3.03-3.14
In2 0.0000 0.0000 0.5000  8 Sc 3.04


Table of VASP energy (eV/atom), in record order: -2.924, -6.660, -5.507
Table of total moment (μB per formula unit), in record order: 0.00, 0.81, 3.13